No. 1
DFT (PBE) results for crystalline LaINO2 at its relaxed geometry.

* crystal system: tetragonal
* symmetry: P4/mmm, No. 123
* ΔE_f (raw): -492 meV per atom
* VASP energy: -27.18 eV/cell

The structure in extended XYZ format:
```
5
Lattice="4.276 0.000 0.000 0.000 4.276 0.000 0.000 0.000 4.398" Properties=species:S:1:pos:R:3 pbc="T T T"
La 0.000 0.000 0.000
I 2.138 2.138 2.199
N 2.138 2.138 0.000
O 0.000 2.138 2.199
O 2.138 0.000 2.199
```

No. 2
DFT (PBE) results for crystalline LaIN2O at its relaxed geometry.

* crystal system: tetragonal
* symmetry: P4/mmm, No. 123
* ΔE_f (raw): 1147 meV per atom
* VASP energy: -22.35 eV/cell

The structure in extended XYZ format:
```
5
Lattice="4.038 0.000 0.000 0.000 4.038 0.000 0.000 0.000 7.316" Properties=species:S:1:pos:R:3 pbc="T T T"
La 0.000 0.000 0.000
I 0.000 0.000 3.658
N 0.000 2.019 0.000
N 2.019 0.000 0.000
O 2.019 2.019 3.658
```

No. 3
DFT (PBE) results for crystalline LaINO2 at its relaxed geometry.

* crystal system: tetragonal
* symmetry: P4/mmm, No. 123
* ΔE_f (raw): -61 meV per atom
* VASP energy: -25.02 eV/cell

The structure in extended XYZ format:
```
5
Lattice="4.421 0.000 0.000 0.000 4.421 0.000 0.000 0.000 4.100" Properties=species:S:1:pos:R:3 pbc="T T T"
La 0.000 0.000 0.000
I 2.210 2.210 0.000
N 2.210 2.210 2.050
O 0.000 2.210 2.050
O 2.210 0.000 2.050
```

No. 4
DFT (PBE) results for crystalline LaIN2O at its relaxed geometry.

* crystal system: tetragonal
* symmetry: P4/mmm, No. 123
* ΔE_f (raw): 923 meV per atom
* VASP energy: -23.47 eV/cell

The structure in extended XYZ format:
```
5
Lattice="4.453 0.000 0.000 0.000 4.453 0.000 0.000 0.000 4.083" Properties=species:S:1:pos:R:3 pbc="T T T"
La 0.000 0.000 0.000
I 2.227 2.227 0.000
N 0.000 2.227 2.041
N 2.227 0.000 2.041
O 2.227 2.227 2.041
```

No. 5
DFT (PBE) results for crystalline LaOs2IN at its relaxed geometry.

* crystal system: tetragonal
* symmetry: P4/mmm, No. 123
* ΔE_f (raw): 418 meV per atom
* VASP energy: -35.17 eV/cell

The structure in extended XYZ format:
```
5
Lattice="4.158 0.000 0.000 0.000 4.158 0.000 0.000 0.000 5.415" Properties=species:S:1:pos:R:3 pbc="T T T"
La 0.000 0.000 0.000
Os 0.000 2.079 2.707
Os 2.079 0.000 2.707
I 2.079 2.079 0.000
N 0.000 0.000 2.707
```

No. 6
DFT (PBE) results for crystalline LaOsIN2 at its relaxed geometry.

* crystal system: tetragonal
* symmetry: P4/mmm, No. 123
* ΔE_f (raw): 458 meV per atom
* VASP energy: -32.07 eV/cell
* energy above the lowest structure with this stoichiometry: 0.0 meV/atom

The structure in extended XYZ format:
```
5
Lattice="4.139 0.000 0.000 0.000 4.139 0.000 0.000 0.000 5.353" Properties=species:S:1:pos:R:3 pbc="T T T"
La 0.000 0.000 0.000
Os 2.069 2.069 2.677
I 2.069 2.069 0.000
N 0.000 2.069 2.677
N 2.069 0.000 2.677
```